No. 1
VASP calculation (PBE-GGA) on crystalline TiCrS4 at its relaxed geometry.

```
TiCrS4
1.0
-3.445 3.435 4.725
3.445 -3.435 4.725
3.445 3.435 -4.725
Ti Cr S
2 2 8
Cartesian
0.000 3.435 0.000
0.000 0.000 0.000
1.722 1.717 -2.363
1.722 -1.717 2.363
1.710 5.152 -0.008
1.710 1.717 0.008
3.445 -0.093 2.314
0.000 0.093 7.039
0.000 3.528 2.411
3.445 3.341 -2.314
1.735 -1.717 4.733
1.735 1.717 4.718
```

Its total energy is -6.55 eV/atom. As for the offset from the most stable computed form: 36.7 meV per atom. The formation energy without anion corrections comes out at -874 meV/atom. As for the symmetry: Imma, No. 74. The total magnetization is 2.08 μB per formula unit.

No. 2
VASP calculation (PBE-GGA) on crystalline CePr2Zn4 at its relaxed geometry.

```
CePr2Zn4
1.0
-2.658 -4.602 -0.305
4.012 -2.134 -2.772
2.055 1.429 6.984
Ce Pr Zn
1 2 4
Cartesian
0.000 0.000 0.000
1.875 -4.218 0.850
1.534 -1.088 3.057
4.161 -2.596 2.911
0.826 -3.831 4.144
-0.753 -2.710 0.996
2.582 -1.476 -0.237
```

Its total energy is -3.03 eV/atom. The formation energy comes out at -0.0911 eV/atom. As for the symmetry: I4/mmm, No. 139. The total magnetization is 0.72 μB per formula unit.

No. 3
VASP calculation (PBE-GGA) on crystalline YSc2Ag at its relaxed geometry.

```
YSc2Ag
1.0
3.823 0.000 0.000
0.000 5.015 0.000
0.000 0.000 5.010
Ag Sc Y
1 2 1
Cartesian
0.000 2.508 2.505
0.000 0.000 0.000
1.911 2.508 0.000
1.911 0.000 2.505
```

Its total energy is -5.51 eV/atom. The formation energy comes out at -0.0197 eV/atom. As for the offset from the most stable computed form: 95.1 meV per atom. As for the symmetry: Pmmm, No. 47. The total magnetization is 0.01 μB per formula unit.

No. 4
VASP calculation (PBE-GGA) on crystalline Fe3Co5 at its relaxed geometry.

```
Fe3Co5
1.0
6.938 0.002 0.001
5.783 3.833 0.001
5.783 1.743 3.413
Co Fe
5 3
Cartesian
0.029 0.009 0.005
16.210 4.886 2.992
13.892 4.188 2.564
9.231 2.782 1.704
6.901 2.080 1.274
11.571 3.488 2.136
4.621 1.393 0.853
2.309 0.696 0.426
```

Its total energy is -7.60 eV/atom. The formation energy comes out at 0.0158 eV/atom. As for the symmetry: R3m, No. 160. The total magnetization is 16.52 μB per formula unit.

No. 5
VASP calculation (PBE-GGA) on crystalline Na2PS4 at its relaxed geometry.

```
Na2PS4
1.0
-3.993 -0.538 2.332
0.904 -4.539 0.502
1.781 -1.213 7.415
P S Na
1 4 2
Cartesian
0.000 0.000 0.000
0.740 -1.628 5.537
-2.047 -4.662 4.712
0.452 -2.270 0.251
-1.997 -0.269 1.166
-0.630 -2.174 3.066
-0.677 -4.116 7.183
```

Its total energy is -3.67 eV/atom. As for the offset from the most stable computed form: 464.7 meV per atom. The formation energy without anion corrections comes out at -165 meV/atom. As for the symmetry: I4/mmm, No. 139. The total magnetization is 0.00 μB per formula unit.

No. 6
VASP calculation (PBE-GGA) on crystalline LaSc3Te at its relaxed geometry.

```
LaSc3Te
1.0
5.292 0.000 0.000
0.000 5.292 0.000
0.000 0.000 5.292
Sc Te La
3 1 1
Cartesian
0.000 2.646 0.000
0.000 0.000 2.646
2.646 0.000 0.000
2.646 2.646 2.646
0.000 0.000 0.000
```

Its total energy is -4.64 eV/atom. As for the offset from the most stable computed form: 792.4 meV per atom. The formation energy without anion corrections comes out at 772 meV/atom. As for the symmetry: Pm-3m, No. 221. The total magnetization is 0.00 μB per formula unit.

No. 7
VASP calculation (PBE-GGA) on crystalline AlCu2Pd5Au2 at its relaxed geometry.

```
AlCu2Pd5Au2
1.0
2.903 0.000 0.000
0.000 10.423 0.000
0.000 0.000 10.423
Al Cu Pd Au
2 4 10 4
Cartesian
0.000 0.000 0.000
0.000 5.212 5.212
0.000 1.554 6.765
0.000 8.869 3.658
0.000 6.765 8.869
0.000 3.658 1.554
1.451 2.049 0.163
1.451 8.374 10.260
1.451 0.163 8.374
1.451 7.261 5.048
1.451 10.260 2.049
1.451 3.162 5.375
1.451 5.375 7.261
1.451 5.048 3.162
1.451 5.212 0.000
1.451 0.000 5.212
0.000 7.014 1.803
0.000 3.409 8.620
0.000 1.803 3.409
0.000 8.620 7.014
```

Its total energy is -4.64 eV/atom. The formation energy comes out at -0.1978 eV/atom. As for the symmetry: P4/mbm, No. 127. The total magnetization is 0.00 μB per formula unit.

No. 8
VASP calculation (PBE-GGA) on crystalline TlTcW2 at its relaxed geometry.

```
TlTcW2
1.0
-0.890 2.092 -4.441
-4.720 -0.919 -1.330
1.961 1.846 4.200
Tc Tl W
1 1 2
Cartesian
-2.805 0.586 -2.885
-0.867 2.262 -1.563
0.000 0.000 0.000
-2.782 0.756 -0.008
```

Its total energy is -8.91 eV/atom. The formation energy comes out at 0.7486 eV/atom. As for the offset from the most stable computed form: 199.5 meV per atom. As for the symmetry: I-4m2, No. 119. The total magnetization is 0.00 μB per formula unit.

No. 9
VASP calculation (PBE-GGA) on crystalline Tm3Bi5S12 at its relaxed geometry.

```
Tm3Bi5S12
1.0
14.118 0.000 0.000
-4.706 13.311 0.000
-4.706 -6.655 11.528
Tm Bi S
12 20 48
Cartesian
8.236 4.160 1.441
8.236 9.151 1.441
-1.177 5.824 7.205
1.177 -0.832 4.323
10.589 0.000 2.882
1.177 6.655 2.882
3.530 0.000 8.646
-5.883 6.655 8.646
3.530 7.487 7.205
5.883 0.832 4.323
-3.530 -2.496 10.087
-3.530 2.496 10.087
-1.177 3.328 2.882
-2.353 6.655 0.000
0.000 0.000 0.000
3.530 2.496 1.441
4.706 -3.328 5.764
4.706 6.655 0.000
-3.530 7.487 4.323
5.883 -4.160 10.087
5.883 5.824 4.323
1.177 -3.328 8.646
3.530 9.983 2.882
2.353 3.328 5.764
7.059 0.000 0.000
-2.353 -3.328 5.764
-1.177 0.832 7.205
-1.177 10.815 1.441
-4.706 3.328 5.764
8.236 -0.832 7.205
1.177 4.160 10.087
5.883 3.328 8.646
9.336 1.484 0.679
0.077 4.658 4.818
10.316 2.968 3.137
6.155 2.095 1.625
1.713 5.237 7.711
9.752 6.623 1.947
-0.904 7.529 4.762
-3.802 11.216 1.625
0.640 8.074 7.711
6.719 6.688 1.947
7.136 3.481 4.139
7.136 11.827 0.679
-4.066 5.969 6.443
2.693 4.985 1.002
-4.783 9.830 4.139
2.430 -1.997 6.709
-0.640 0.732 2.627
2.693 8.358 0.945
6.155 10.343 3.137
-0.340 4.953 0.945
-2.993 7.388 8.901
3.257 5.782 4.762
6.419 7.342 6.443
5.046 -1.670 10.526
1.449 0.873 6.766
-1.713 -0.687 5.084
-0.340 8.326 1.002
-1.449 -3.687 8.391
7.699 -0.732 2.627
5.046 1.703 10.582
2.013 -1.703 10.582
2.277 8.653 4.818
5.346 5.923 8.901
9.489 -3.174 7.389
8.772 0.687 5.084
-2.430 -5.172 10.848
2.013 1.670 10.526
4.066 -1.419 3.816
-2.013 -0.033 9.580
-2.430 3.174 7.389
8.509 -4.560 9.903
5.610 -0.873 6.766
-1.449 4.560 9.903
-5.046 0.033 9.580
2.993 1.419 3.816
-5.610 3.687 8.391
4.630 1.997 6.709
-4.630 5.172 10.848
```

Its total energy is -4.88 eV/atom. The formation energy without anion corrections comes out at -762 meV/atom. As for the symmetry: Ia-3d, No. 230. The total magnetization is 0.00 μB per formula unit.

No. 10
VASP calculation (PBE-GGA) on crystalline TbSmDyMg at its relaxed geometry.

```
TbSmDyMg
1.0
3.625 0.000 0.000
0.000 3.625 0.000
0.000 0.000 9.172
Tb Sm Dy Mg
1 1 1 1
Cartesian
1.812 1.812 7.351
0.000 0.000 0.661
1.812 1.812 3.129
0.000 0.000 5.228
```

Its total energy is -3.92 eV/atom. The formation energy comes out at -0.0296 eV/atom. As for the offset from the most stable computed form: 0.0 meV per atom. As for the symmetry: P4mm, No. 99. The total magnetization is 0.00 μB per formula unit.

No. 11
VASP calculation (PBE-GGA) on crystalline ErLuFeOs at its relaxed geometry.

```
ErLuFeOs
1.0
4.755 0.000 0.000
2.377 4.118 0.000
2.377 1.373 3.882
Lu Os Fe Er
1 1 1 1
Cartesian
4.755 2.745 1.941
2.377 1.373 0.971
7.132 4.118 2.912
0.000 0.000 0.000
```

Its total energy is -7.25 eV/atom. The formation energy comes out at -0.0560 eV/atom. As for the symmetry: F-43m, No. 216. The total magnetization is 2.02 μB per formula unit.

No. 12
VASP calculation (PBE-GGA) on crystalline KRb5As2 at its relaxed geometry.

```
KRb5As2
1.0
6.697 0.424 -0.604
-2.981 5.164 0.000
-2.137 -1.232 21.652
K Rb As
2 10 4
Cartesian
0.369 3.654 5.540
1.211 0.702 15.508
2.815 5.069 7.952
0.580 0.334 2.584
3.873 2.236 4.371
1.000 4.022 18.464
3.525 2.035 0.433
-2.294 2.120 16.677
-1.945 2.321 20.615
-0.737 3.018 11.801
2.316 1.338 9.247
-1.235 -0.712 13.096
2.646 1.528 12.803
1.088 4.071 2.374
-1.066 2.828 8.245
0.491 0.285 18.674
```

Its total energy is -2.12 eV/atom. The formation energy comes out at -0.2165 eV/atom. As for the symmetry: C2/m, No. 12. The total magnetization is 0.00 μB per formula unit.